Zr2TiPbN after structural relaxation. Source: Alexandria via LeMat-Bulk, functional PBE.

The calculation puts the density of states at the Fermi level at 4.7 states/eV/f.u. As for the total magnetization: 0.000 μB/atom. For the volume, the calculation gives 88.9 Å³ per cell.

Cell: 4.683 4.683 4.054 Å, 90.00 90.00 90.00°
Space group P4/mmm (No. 123)
Unique sites:
Zr 0.000 0.500 0.000 [2 per cell]
Ti 0.000 0.000 0.500 [1 per cell]
Pb 0.500 0.500 0.500 [1 per cell]
N 0.000 0.000 0.000 [1 per cell]


FeWAu2 after structural relaxation. Source: Alexandria via LeMat-Bulk, functional PBE.

The calculation puts the density of states at the Fermi level at 1.9 states/eV/f.u. As for the total magnetization: 0.502 μB/atom. For the volume, the calculation gives 255.8 Å³ per cell.

Cell: 6.348 6.348 6.348 Å, 90.00 90.00 90.00°
Space group F-43m (No. 216)
Unique sites:
Fe 0.000 0.000 0.000 [4 per cell]
W 0.250 0.250 0.250 [4 per cell]
Au 0.000 0.000 0.500 [4 per cell]
Au 0.250 0.250 0.750 [4 per cell]


ErGe after structural relaxation. Source: Alexandria via LeMat-Bulk, functional PBE.

The calculation puts the density of states at the Fermi level at 1.3 states/eV/f.u. As for the total magnetization: 0.000 μB/atom. For the volume, the calculation gives 177.7 Å³ per cell.

Cell: 4.232 10.642 3.945 Å, 90.00 90.00 90.00°
Space group Cmcm (No. 63)
Unique sites:
Er 0.000 0.138 0.250 [4 per cell]
Ge 0.000 0.413 0.250 [4 per cell]


YIrPd after structural relaxation. Source: Alexandria via LeMat-Bulk, functional PBE.

The calculation puts the density of states at the Fermi level at 2.3 states/eV/f.u. As for the total magnetization: 0.000 μB/atom. For the volume, the calculation gives 973.2 Å³ per cell.

Cell: 4.712 11.992 17.222 Å, 90.00 90.00 90.00°
Space group Fmmm (No. 69)
Unique sites:
Y 0.000 0.139 0.117 [16 per cell]
Ir 0.000 0.000 0.426 [8 per cell]
Ir 0.000 0.194 0.500 [8 per cell]
Pd 0.000 0.143 0.294 [16 per cell]


Number 1: DFT total energy -40.76 eV per cell. Number 2: DFT total energy -104.27 eV per cell. Number 3: DFT total energy -43.55 eV per cell. Number 4: DFT total energy -351.91 eV per cell.